# PBE TbSmHg, optimized geometry
# crystal system = trigonal
# ΔH_f (0 K) = -0.182 eV/atom
# energy = -3.399 eV/atom
# energy above the lowest structure with this stoichiometry = 165.1 meV per atom
data_TbSmHg
_cell_length_a 5.1711
_cell_length_b 5.1711
_cell_length_c 3.7932
_cell_angle_alpha 90.00
_cell_angle_beta 90.00
_cell_angle_gamma 120.00
_space_group_name_H-M_alt 'P 3 m 1'
_space_group_IT_number 156
_space_group_name_Hall 'P 3 -2"'
loop_
_atom_site_label
_atom_site_type_symbol
_atom_site_fract_x
_atom_site_fract_y
_atom_site_fract_z
Tb1 Tb 0.0000 0.0000 0.0000
Sm1 Sm 0.6667 0.3333 0.5417
Hg1 Hg 0.3333 0.6667 0.2019



# PBE Tb2Sm4Hg, optimized geometry
# crystal system = monoclinic
# ΔH_f (0 K) = -0.010 eV/atom
# energy = -4.072 eV/atom
data_Tb2Sm4Hg
_cell_length_a 16.5918
_cell_length_b 3.5681
_cell_length_c 8.5406
_cell_angle_alpha 90.00
_cell_angle_beta 117.48
_cell_angle_gamma 90.00
_space_group_name_H-M_alt 'C 1 2/m 1'
_space_group_IT_number 12
_space_group_name_Hall '-C 2y'
loop_
_atom_site_label
_atom_site_type_symbol
_atom_site_fract_x
_atom_site_fract_y
_atom_site_fract_z
Tb1 Tb 0.2160 0.0000 0.1385
Sm1 Sm 0.0828 0.0000 0.7024
Sm2 Sm 0.1288 0.5000 0.3863
Hg1 Hg 0.0000 0.0000 0.0000



# PBE TbSmHg6, optimized geometry
# crystal system = orthorhombic
# ΔH_f (0 K) = -0.365 eV/atom
# energy = -1.760 eV/atom
data_TbSmHg6
_cell_length_a 5.0326
_cell_length_b 6.7422
_cell_length_c 11.5602
_cell_angle_alpha 90.00
_cell_angle_beta 90.00
_cell_angle_gamma 90.00
_space_group_name_H-M_alt 'A m m 2'
_space_group_IT_number 38
_space_group_name_Hall 'A 2 -2'
loop_
_atom_site_label
_atom_site_type_symbol
_atom_site_fract_x
_atom_site_fract_y
_atom_site_fract_z
Tb1 Tb 0.0000 0.0000 0.0000
Sm1 Sm 0.5000 0.0000 0.6748
Hg1 Hg 0.0000 0.0000 0.5039
Hg2 Hg 0.0000 0.2423 0.2542
Hg3 Hg 0.5000 0.0000 0.1686
Hg4 Hg 0.5000 0.2459 0.4219



# PBE Tb12Sm5Hg2, optimized geometry
# crystal system = monoclinic
# ΔH_f (0 K) = 0.008 eV/atom
# energy = -4.190 eV/atom
data_Tb12Sm5Hg2
_cell_length_a 15.5036
_cell_length_b 9.3463
_cell_length_c 8.2888
_cell_angle_alpha 90.00
_cell_angle_beta 92.45
_cell_angle_gamma 90.00
_space_group_name_H-M_alt 'C 1 2/m 1'
_space_group_IT_number 12
_space_group_name_Hall '-C 2y'
loop_
_atom_site_label
_atom_site_type_symbol
_atom_site_fract_x
_atom_site_fract_y
_atom_site_fract_z
Tb1 Tb 0.0524 0.0000 0.3124
Tb2 Tb 0.0817 0.5000 0.8840
Tb3 Tb 0.1247 0.1937 0.6623
Tb4 Tb 0.1481 0.3162 0.2367
Sm1 Sm 0.0000 0.5000 0.5000
Sm2 Sm 0.1916 0.0000 0.0050
Sm3 Sm 0.2353 0.5000 0.5822
Hg1 Hg 0.0000 0.1897 0.0000



# PBE Tb6Sm2Hg, optimized geometry
# crystal system = orthorhombic
# ΔH_f (0 K) = 0.038 eV/atom
# energy = -4.131 eV/atom
data_Tb6Sm2Hg
_cell_length_a 9.4112
_cell_length_b 17.4264
_cell_length_c 3.5535
_cell_angle_alpha 90.00
_cell_angle_beta 90.00
_cell_angle_gamma 90.00
_space_group_name_H-M_alt 'C m m m'
_space_group_IT_number 65
_space_group_name_Hall '-C 2 2'
loop_
_atom_site_label
_atom_site_type_symbol
_atom_site_fract_x
_atom_site_fract_y
_atom_site_fract_z
Tb1 Tb 0.1754 0.1617 0.0000
Tb2 Tb 0.2091 0.5000 0.5000
Sm1 Sm 0.0000 0.3203 0.5000
Hg1 Hg 0.0000 0.0000 0.0000



# PBE Tb3SmHg12, optimized geometry
# crystal system = tetragonal
# ΔH_f (0 K) = -0.328 eV/atom
# energy = -1.717 eV/atom
data_Tb3SmHg12
_cell_length_a 4.5452
_cell_length_b 4.5452
_cell_length_c 19.2556
_cell_angle_alpha 90.00
_cell_angle_beta 90.00
_cell_angle_gamma 90.00
_space_group_name_H-M_alt 'P 4/m m m'
_space_group_IT_number 123
_space_group_name_Hall '-P 4 2'
loop_
_atom_site_label
_atom_site_type_symbol
_atom_site_fract_x
_atom_site_fract_y
_atom_site_fract_z
Tb1 Tb 0.0000 0.0000 0.0000
Tb2 Tb 0.0000 0.0000 0.2486
Sm1 Sm 0.0000 0.0000 0.5000
Hg1 Hg 0.0000 0.5000 0.1244
Hg2 Hg 0.0000 0.5000 0.3732
Hg3 Hg 0.5000 0.5000 0.0000
Hg4 Hg 0.5000 0.5000 0.2487
Hg5 Hg 0.5000 0.5000 0.5000



# PBE TbSm4Hg5, optimized geometry
# crystal system = tetragonal
# ΔH_f (0 K) = -0.473 eV/atom
# energy = -2.975 eV/atom
data_TbSm4Hg5
_cell_length_a 3.7895
_cell_length_b 3.7895
_cell_length_c 18.8515
_cell_angle_alpha 90.00
_cell_angle_beta 90.00
_cell_angle_gamma 90.00
_space_group_name_H-M_alt 'P 4/m m m'
_space_group_IT_number 123
_space_group_name_Hall '-P 4 2'
loop_
_atom_site_label
_atom_site_type_symbol
_atom_site_fract_x
_atom_site_fract_y
_atom_site_fract_z
Tb1 Tb 0.0000 0.0000 0.0000
Sm1 Sm 0.0000 0.0000 0.1981
Sm2 Sm 0.0000 0.0000 0.3993
Hg1 Hg 0.5000 0.5000 0.0954
Hg2 Hg 0.5000 0.5000 0.2988
Hg3 Hg 0.5000 0.5000 0.5000



# PBE TbSm4Hg, optimized geometry
# crystal system = monoclinic
# ΔH_f (0 K) = -0.050 eV/atom
# energy = -4.018 eV/atom
# energy above the lowest structure with this stoichiometry = 95.2 meV per atom
data_TbSm4Hg
_cell_length_a 8.8927
_cell_length_b 14.0884
_cell_length_c 6.4567
_cell_angle_alpha 90.00
_cell_angle_beta 109.05
_cell_angle_gamma 90.00
_space_group_name_H-M_alt 'C 1 2/c 1'
_space_group_IT_number 15
_space_group_name_Hall '-C 2yc'
loop_
_atom_site_label
_atom_site_type_symbol
_atom_site_fract_x
_atom_site_fract_y
_atom_site_fract_z
Tb1 Tb 0.0000 0.0922 0.2500
Sm1 Sm 0.0992 0.3114 0.5473
Sm2 Sm 0.2171 0.1167 0.8756
Hg1 Hg 0.0000 0.4988 0.2500